No. 1
! LaGdSnAu PBE-GGA relaxed; values from VASP
! - formation enthalpy at 0 K (meV/atom) = -747
! - calculated volume (Å³ per atom) = 27.58
&SYSTEM
  ibrav = 0, nat = 4, ntyp = 4
/
ATOMIC_SPECIES
Gd 157.25 Gd.upf
La 138.91 La.upf
Au 196.97 Au.upf
Sn 118.71 Sn.upf
ATOMIC_POSITIONS crystal
Gd 0.000 0.000 0.000
La 0.500 0.500 0.500
Au 0.750 0.750 0.750
Sn 0.250 0.250 0.250
CELL_PARAMETERS angstrom
-0.661 -0.855 -5.274
-2.038 -4.671 -1.735
-4.954 -0.161 -2.101

No. 2
! NdNbB4 PBE-GGA relaxed; values from VASP
! - formation enthalpy at 0 K (meV/atom) = -528
! - calculated volume (Å³ per atom) = 11.65
&SYSTEM
  ibrav = 0, nat = 24, ntyp = 3
/
ATOMIC_SPECIES
B 10.81 B.upf
Nb 92.91 Nb.upf
Nd 144.24 Nd.upf
ATOMIC_POSITIONS crystal
B 0.500 0.635 0.532
B 0.500 0.886 0.453
Nb 0.000 0.868 0.586
B 0.500 0.476 0.192
Nd 0.000 0.874 0.849
Nb 0.000 0.632 0.086
B 0.500 0.386 0.047
B 0.500 0.365 0.468
B 0.500 0.976 0.308
Nd 0.000 0.126 0.151
B 0.500 0.290 0.313
B 0.500 0.135 0.968
B 0.500 0.614 0.953
Nd 0.000 0.626 0.349
Nb 0.000 0.132 0.414
B 0.500 0.790 0.187
B 0.500 0.024 0.692
B 0.500 0.210 0.813
B 0.500 0.524 0.808
Nb 0.000 0.368 0.914
B 0.500 0.114 0.547
B 0.500 0.865 0.032
B 0.500 0.710 0.687
Nd 0.000 0.374 0.651
CELL_PARAMETERS angstrom
-1.437 2.869 -1.871
3.124 -1.761 -5.101
-9.342 -6.865 -3.353

No. 3
! FeSbHRh2 PBE-GGA relaxed; values from VASP
! - energy (eV per atom) = -6.23
! - calculated volume (Å³ per atom) = 12.11
&SYSTEM
  ibrav = 0, nat = 5, ntyp = 4
/
ATOMIC_SPECIES
Rh 102.91 Rh.upf
H 1.01 H.upf
Sb 121.76 Sb.upf
Fe 55.84 Fe.upf
ATOMIC_POSITIONS crystal
Rh 0.000 0.500 0.000
H 0.000 0.000 0.000
Sb 0.500 0.500 0.500
Fe 0.000 0.000 0.500
Rh 0.500 0.000 0.000
CELL_PARAMETERS angstrom
-1.262 3.706 0.292
-2.328 -1.028 2.989
2.902 0.789 2.531

No. 4
! TaHg2Os PBE-GGA relaxed; values from VASP
! - formation enthalpy at 0 K (meV/atom) = 240
! - relative energy among the computed polymorphs (meV per atom) = 0.0
! - calculated volume (Å³ per atom) = 19.86
&SYSTEM
  ibrav = 0, nat = 4, ntyp = 3
/
ATOMIC_SPECIES
Os 190.23 Os.upf
Hg 200.59 Hg.upf
Ta 180.95 Ta.upf
ATOMIC_POSITIONS crystal
Os 0.000 0.444 0.534
Hg 0.000 0.108 0.977
Hg 0.500 0.126 0.281
Ta 0.500 0.821 0.708
CELL_PARAMETERS angstrom
3.060 0.000 0.000
0.000 3.058 -0.141
0.000 2.692 8.366